Record 1
Below is Ce7PuRh2 after structural relaxation, with properties calculated at the PBE-GGA level.

abc: 5.0725 7.9163 7.9163
angles: 111.31 90.00 90.00
With the nearest neighbours (Å) after each atom.
Atoms (fractional coordinates):
Ce1 0.0000 0.7448 0.2552  2 Rh 2.63
Ce2 0.5000 0.9307 0.7197  1 Ce 2.76, 1 Rh 3.06
Ce3 0.0000 0.2552 0.7448  2 Rh 2.63
Ce4 0.5000 0.2803 0.0693  1 Ce 2.76, 1 Rh 3.06
Ce5 0.5000 0.5000 0.5000  2 Rh 2.52
Ce6 0.5000 0.0693 0.2803  1 Ce 2.76, 1 Rh 3.06
Ce7 0.5000 0.7197 0.9307  1 Ce 2.76, 1 Rh 3.06
Rh1 0.5000 0.3070 0.6930  3 Ce 2.52-2.63
Rh2 0.5000 0.6930 0.3070  3 Ce 2.52-2.63
Pu1 0.0000 0.0000 0.0000  10 Ce 3.28-3.34

## Properties
Excess energy over the best structure of this formula in the dataset in kcal/mol of atoms: 5.785
SG: Cmmm
Formation energy from the elements in eV/atom: 0.014

Record 2
Below is AcNd12Sm6 after structural relaxation, with properties calculated at the PBE-GGA level.

abc: 8.9790 8.9790 8.9790
angles: 99.47 99.47 99.47
With the nearest neighbours (Å) after each atom.
Atoms (fractional coordinates):
Sm1 0.9009 0.9009 0.3441  1 Sm 3.14
Sm2 0.3441 0.9009 0.9009  1 Sm 3.14
Sm3 0.0991 0.6559 0.0991  1 Sm 3.14
Sm4 0.0991 0.0991 0.6559  1 Sm 3.14
Sm5 0.6559 0.0991 0.0991  1 Sm 3.14
Sm6 0.9009 0.3441 0.9009  1 Sm 3.14
Nd1 0.6454 0.6454 0.9177  6 Nd 3.44-3.73, 2 Sm 3.82
Nd2 0.7602 0.2398 0.5000  6 Nd 3.44-3.62, 4 Sm 3.53-3.64
Nd3 0.6454 0.9177 0.6454  6 Nd 3.44-3.73, 2 Sm 3.82
Nd4 0.2398 0.5000 0.7602  6 Nd 3.44-3.62, 4 Sm 3.53-3.64
Nd5 0.5000 0.7602 0.2398  6 Nd 3.44-3.62, 4 Sm 3.53-3.64
Nd6 0.5000 0.2398 0.7602  6 Nd 3.44-3.62, 4 Sm 3.53-3.64
Nd7 0.0823 0.3546 0.3546  6 Nd 3.44-3.73, 2 Sm 3.82
Nd8 0.7602 0.5000 0.2398  6 Nd 3.44-3.62, 4 Sm 3.53-3.64
Nd9 0.3546 0.3546 0.0823  6 Nd 3.44-3.73, 2 Sm 3.82
Nd10 0.2398 0.7602 0.5000  6 Nd 3.44-3.62, 4 Sm 3.53-3.64
Nd11 0.3546 0.0823 0.3546  6 Nd 3.44-3.73, 2 Sm 3.82
Nd12 0.9177 0.6454 0.6454  6 Nd 3.44-3.73, 2 Sm 3.82
Ac1 0.0000 0.0000 0.0000  6 Sm 3.56

## Properties
Excess energy over the best structure of this formula in the dataset in kcal/mol of atoms: 1.184
SG: R-3m
Formation energy from the elements in eV/atom: 0.185